First-principles (PBE) data for crystalline ReSe2 at its relaxed geometry, as listed in Alexandria via LeMat-Bulk.

a b c (Å): 4.6039 4.6039 2.8816
angles (deg): 90.00 90.00 120.00
Atoms (fractional coordinates):
Re  0.0000  0.0000  0.5000
Se  0.6667  0.3333  0.0000
Se  0.3333  0.6667  0.0000

Raw formation energy (eV per atom): 1.363
Volume (Å³/atom): 17.6


First-principles (PBE) data for crystalline ReSe at its relaxed geometry, as listed in Alexandria via LeMat-Bulk.

a b c (Å): 7.1565 7.1565 3.8941
angles (deg): 90.00 90.00 155.75
Atoms (fractional coordinates):
Se  0.6173  0.3827  0.7500
Se  0.3827  0.6173  0.2500
Re  0.7906  0.2094  0.7500
Re  0.2094  0.7906  0.2500

Raw formation energy (eV per atom): 0.330
Excess energy over the best structure of this formula in the dataset (eV per formula unit): 0.92
Volume (Å³/atom): 20.5


First-principles (PBE) data for crystalline ReSe at its relaxed geometry, as listed in Alexandria via LeMat-Bulk.

a b c (Å): 4.0362 5.6126 5.9457
angles (deg): 90.00 90.00 90.00
Atoms (fractional coordinates):
Re  0.7500  0.6457  0.4005
Re  0.2500  0.8543  0.9005
Re  0.7500  0.1457  0.0995
Re  0.2500  0.3543  0.5995
Se  0.2500  0.9898  0.3091
Se  0.7500  0.0102  0.6909
Se  0.7500  0.5102  0.8091
Se  0.2500  0.4898  0.1909

Raw formation energy (eV per atom): 0.870
Excess energy over the best structure of this formula in the dataset (eV per formula unit): 2.00
Volume (Å³/atom): 16.8


First-principles (PBE) data for crystalline ReSe at its relaxed geometry, as listed in Alexandria via LeMat-Bulk.

a b c (Å): 4.2004 4.2004 11.7316
angles (deg): 90.00 90.00 120.00
Atoms (fractional coordinates):
Re  0.0000  0.0000  0.2500
Re  0.0000  0.0000  0.7500
Re  0.3333  0.6667  0.7500
Re  0.6667  0.3333  0.2500
Se  0.6667  0.3333  0.8836
Se  0.3333  0.6667  0.1164
Se  0.6667  0.3333  0.6164
Se  0.3333  0.6667  0.3836

Raw formation energy (eV per atom): 0.762
Excess energy over the best structure of this formula in the dataset (eV per formula unit): 1.78
Volume (Å³/atom): 22.4


Number 1 is which compound? ReSe2